Density functional theory data (GGA-PBE) for a relaxed structure of Nd3AlTl.

Structure (CIF):
```
data_Nd3AlTl
_chemical_formula_sum 'Nd12 Al4 Tl4'
_cell_length_a 5.093
_cell_length_b 22.908
_cell_length_c 5.094
_cell_angle_alpha 90.00
_cell_angle_beta 90.00
_cell_angle_gamma 90.00
_space_group_name_H-M_alt 'C m c m'
_space_group_IT_number 63
_space_group_name_Hall '-C 2c 2'
loop_
_atom_site_label
_atom_site_type_symbol
_atom_site_fract_x
_atom_site_fract_y
_atom_site_fract_z
Nd1 Nd 0.000 0.062 0.250
Nd2 Nd 0.000 0.250 0.250
Nd3 Nd 0.000 0.438 0.250
Al1 Al 0.000 0.155 0.750
Tl1 Tl 0.000 0.345 0.750
```

Computed properties:
- volume (A^3/atom) = 29.7
- distance to the lowest polymorph of the same formula (eV per atom) = 0.000
- uncorrected energy (eV/cell) = -86.55


Density functional theory data (GGA-PBE) for a relaxed structure of KMnRe.

Structure (CIF):
```
data_KMnRe
_chemical_formula_sum 'K2 Mn2 Re2'
_cell_length_a 3.040
_cell_length_b 3.040
_cell_length_c 13.816
_cell_angle_alpha 90.00
_cell_angle_beta 90.00
_cell_angle_gamma 90.00
_space_group_name_H-M_alt 'I 4 m m'
_space_group_IT_number 107
_space_group_name_Hall 'I 4 -2'
loop_
_atom_site_label
_atom_site_type_symbol
_atom_site_fract_x
_atom_site_fract_y
_atom_site_fract_z
K1 K 0.000 0.000 0.000
Mn1 Mn 0.000 0.000 0.712
Re1 Re 0.000 0.000 0.294
```

Computed properties:
- volume (A^3/atom) = 21.3
- distance to the lowest polymorph of the same formula (eV per atom) = 0.000
- uncorrected energy (eV/cell) = -39.96


Density functional theory data (GGA-PBE) for a relaxed structure of Na4H2F.

Structure (CIF):
```
data_Na4H2F
_chemical_formula_sum 'Na12 H6 F3'
_cell_length_a 3.3970
_cell_length_b 3.3970
_cell_length_c 34.8084
_cell_angle_alpha 90.00
_cell_angle_beta 90.00
_cell_angle_gamma 120.00
_space_group_name_H-M_alt 'R -3 m'
_space_group_IT_number 166
_space_group_name_Hall '-R 3 2"'
loop_
_atom_site_label
_atom_site_type_symbol
_atom_site_fract_x
_atom_site_fract_y
_atom_site_fract_z
Na1 Na 0.0000 0.0000 0.1204
Na2 Na 0.0000 0.0000 0.2948
H1 H 0.0000 0.0000 0.4122
F1 F 0.0000 0.0000 0.0000
```

Computed properties:
- volume (A^3/atom) = 16.6
- distance to the lowest polymorph of the same formula (eV per atom) = 0.000
- uncorrected energy (eV/cell) = -59.53


Density functional theory data (GGA-PBE) for a relaxed structure of AcPm8Tl2.

Structure (CIF):
```
data_AcPm8Tl2
_chemical_formula_sum 'Ac2 Pm16 Tl4'
_cell_length_a 14.751
_cell_length_b 10.981
_cell_length_c 5.401
_cell_angle_alpha 90.00
_cell_angle_beta 102.47
_cell_angle_gamma 90.00
_space_group_name_H-M_alt 'C 1 2/m 1'
_space_group_IT_number 12
_space_group_name_Hall '-C 2y'
loop_
_atom_site_label
_atom_site_type_symbol
_atom_site_fract_x
_atom_site_fract_y
_atom_site_fract_z
Ac1 Ac 0.000 0.000 0.000
Pm1 Pm 0.080 0.500 0.292
Pm2 Pm 0.099 0.268 0.787
Pm3 Pm 0.247 0.000 0.136
Tl1 Tl 0.146 0.000 0.573
```

Computed properties:
- volume (A^3/atom) = 38.8
- uncorrected energy (eV/cell) = -87.21


Density functional theory data (GGA-PBE) for a relaxed structure of PmCuAu2.

Structure (CIF):
```
data_PmCuAu2
_chemical_formula_sum 'Pm3 Cu3 Au6'
_cell_length_a 4.5480
_cell_length_b 4.5480
_cell_length_c 14.0806
_cell_angle_alpha 90.00
_cell_angle_beta 90.00
_cell_angle_gamma 120.00
_space_group_name_H-M_alt 'R -3 m'
_space_group_IT_number 166
_space_group_name_Hall '-R 3 2"'
loop_
_atom_site_label
_atom_site_type_symbol
_atom_site_fract_x
_atom_site_fract_y
_atom_site_fract_z
Pm1 Pm 0.0000 0.0000 0.0000
Cu1 Cu 0.0000 0.0000 0.5000
Au1 Au 0.0000 0.0000 0.2191
```

Computed properties:
- volume (A^3/atom) = 21.0
- distance to the lowest polymorph of the same formula (eV per atom) = 0.068
- uncorrected energy (eV/cell) = -52.48


Density functional theory data (GGA-PBE) for a relaxed structure of K2SiAs.

Structure (CIF):
```
data_K2SiAs
_chemical_formula_sum 'K6 Si3 As3'
_cell_length_a 3.3605
_cell_length_b 3.3605
_cell_length_c 33.2406
_cell_angle_alpha 90.00
_cell_angle_beta 90.00
_cell_angle_gamma 120.00
_space_group_name_H-M_alt 'R -3 m'
_space_group_IT_number 166
_space_group_name_Hall '-R 3 2"'
loop_
_atom_site_label
_atom_site_type_symbol
_atom_site_fract_x
_atom_site_fract_y
_atom_site_fract_z
K1 K 0.0000 0.0000 0.2469
Si1 Si 0.0000 0.0000 0.0000
As1 As 0.0000 0.0000 0.5000
```

Computed properties:
- volume (A^3/atom) = 27.1
- distance to the lowest polymorph of the same formula (eV per atom) = 0.646
- uncorrected formation energy (eV/atom) = 0.411
- uncorrected energy (eV/cell) = -31.87


Number 3 is which compound? Na4H2F